This record from Alexandria describes a relaxed structure of Sr2InTcN. The functional is GGA-PBE.

Cell and atoms, written as CIF:
```
data_Sr2InTcN
_chemical_formula_sum 'Sr2 In1 Tc1 N1'
_symmetry_space_group_name_H-M 'P 4/m m m'
_symmetry_Int_Tables_number 123
_symmetry_space_group_name_Hall '-P 4 2'
_cell_length_a 5.469
_cell_length_b 5.469
_cell_length_c 3.928
_cell_angle_alpha 90.00
_cell_angle_beta 90.00
_cell_angle_gamma 90.00
loop_
_atom_site_label
_atom_site_type_symbol
_atom_site_fract_x
_atom_site_fract_y
_atom_site_fract_z
Sr1 Sr 0.000 0.500 0.000
In1 In 0.000 0.000 0.500
Tc1 Tc 0.500 0.500 0.500
N1 N 0.500 0.500 0.000
```

Fermi-level density of states (states/eV per atom): 0.651
Formation energy (no corrections) (eV per atom): -0.295
Crystal system: tetragonal